KSc2SO (PBE-GGA, optimized geometry); total energy = -3.21 eV/atom; size of the total moment = 0.0000 μB per atom
1.0
-4.551 1.683 -1.935
-2.065 -4.275 1.138
-1.302 1.879 4.697
K Sc S O
1 2 1 1
Direct
0.000 0.000 0.000 K
0.500 0.000 0.000 Sc
0.000 0.000 0.500 Sc
0.000 0.500 0.000 S
0.500 0.500 0.500 O


Li3MgI (PBE-GGA, optimized geometry); distance to the lowest polymorph of the same formula = 0 meV per atom; total energy = -1.88 eV/atom; size of the total moment = 0.0000 μB per atom
1.0
5.276 0.000 0.000
0.000 5.276 0.000
0.000 0.000 5.276
Li I Mg
3 1 1
Direct
0.000 0.000 0.500 Li
0.000 0.500 0.000 Li
0.500 0.000 0.000 Li
0.000 0.000 0.000 I
0.500 0.500 0.500 Mg


RbAg2Pb5 (PBE-GGA, optimized geometry); total energy = -3.16 eV/atom; size of the total moment = 0.0000 μB per atom
1.0
4.368 0.000 1.452
1.498 7.415 2.791
-0.241 0.777 8.022
Ag Pb Rb
2 5 1
Direct
0.240 0.260 0.260 Ag
0.760 0.740 0.740 Ag
0.000 0.500 0.500 Pb
0.650 0.546 0.153 Pb
0.350 0.847 0.454 Pb
0.650 0.153 0.546 Pb
0.350 0.454 0.847 Pb
0.000 0.000 0.000 Rb


BaSiAu (PBE-GGA, optimized geometry); total energy = -3.10 eV/atom; size of the total moment = 0.5328 μB per atom
1.0
-1.505 2.035 -4.708
2.963 -0.879 -4.361
-1.809 -3.233 -3.854
Au Si Ba
1 1 1
Direct
0.500 0.500 0.500 Au
0.000 0.000 0.000 Si
0.750 0.750 0.750 Ba


NaHBr2 (PBE-GGA, optimized geometry); distance to the lowest polymorph of the same formula = 0 meV per atom; total energy = -2.89 eV/atom; size of the total moment = 0.0000 μB per atom
1.0
-4.633 3.498 3.721
-2.146 0.855 6.497
-0.423 4.791 4.941
Na H Br
1 1 2
Direct
0.500 0.500 0.500 Na
0.000 0.000 0.000 H
0.911 0.911 0.911 Br
0.089 0.089 0.089 Br


TiMnPtAu2 (PBE-GGA, optimized geometry); distance to the lowest polymorph of the same formula = 29 meV per atom; total energy = -5.22 eV/atom; size of the total moment = 0.2684 μB per atom
1.0
4.797 0.000 0.000
0.000 4.138 0.000
0.000 0.000 4.797
Pt Au Mn Ti
1 2 1 1
Direct
0.500 0.500 0.500 Pt
0.500 0.000 0.000 Au
0.000 0.000 0.500 Au
0.000 0.000 0.000 Mn
0.000 0.500 0.000 Ti


Gd2DyTm (PBE-GGA, optimized geometry); distance to the lowest polymorph of the same formula = 1 meV per atom; total energy = -9.28 eV/atom; size of the total moment = 3.6284 μB per atom
1.0
-4.502 -1.724 -1.334
-0.146 -2.826 4.143
-2.182 3.767 2.493
Dy Tm Gd
1 1 2
Direct
0.500 0.500 0.500 Dy
0.500 0.000 0.000 Tm
0.000 0.000 0.500 Gd
0.000 0.500 0.000 Gd


Cd2TeW (PBE-GGA, optimized geometry); total energy = -3.70 eV/atom; size of the total moment = 0.1706 μB per atom
1.0
-5.513 -1.267 -1.346
-3.560 -2.378 3.935
3.727 4.442 -0.444
Te W Cd
1 1 2
Direct
0.250 0.750 0.500 Te
0.750 0.250 0.500 W
0.500 0.500 0.000 Cd
0.000 0.000 0.000 Cd


La3AgHg3 (PBE-GGA, optimized geometry); total energy = -2.96 eV/atom; size of the total moment = 0.0001 μB per atom
1.0
7.420 0.088 -0.049
0.105 7.420 -0.049
-0.049 -0.049 7.534
La Ag Hg
6 2 6
Direct
0.079 0.079 0.762 La
0.945 0.560 0.751 La
0.055 0.440 0.249 La
0.921 0.921 0.238 La
0.560 0.945 0.751 La
0.440 0.055 0.249 La
0.639 0.639 0.050 Ag
0.361 0.361 0.950 Ag
0.356 0.356 0.569 Hg
0.256 0.744 0.000 Hg
0.744 0.256 0.000 Hg
0.644 0.644 0.431 Hg
0.241 0.759 0.500 Hg
0.759 0.241 0.500 Hg


Sm2Dy8Sc (PBE-GGA, optimized geometry); distance to the lowest polymorph of the same formula = 141 meV per atom; total energy = -4.61 eV/atom; size of the total moment = 0.0000 μB per atom
1.0
6.277 1.680 1.275
2.119 9.314 2.919
2.119 5.319 8.184
Sm Dy Sc
2 8 1
Direct
0.425 0.190 0.190 Sm
0.575 0.810 0.810 Sm
0.170 0.756 0.756 Dy
0.774 0.177 0.658 Dy
0.830 0.244 0.244 Dy
0.774 0.658 0.177 Dy
0.271 0.408 0.408 Dy
0.226 0.823 0.342 Dy
0.226 0.342 0.823 Dy
0.729 0.592 0.592 Dy
0.000 0.000 0.000 Sc


USnPbO6 (PBE-GGA, optimized geometry); total energy = -7.53 eV/atom; size of the total moment = 0.0000 μB per atom
1.0
5.618 0.000 0.000
-2.809 4.865 0.000
0.000 0.000 10.760
U Pb O Sn
2 2 12 2
Direct
0.333 0.667 0.250 U
0.667 0.333 0.750 U
0.000 0.000 0.500 Pb
0.000 0.000 0.000 Pb
0.000 0.369 0.645 O
0.000 0.631 0.355 O
0.632 0.631 0.145 O
0.632 0.000 0.355 O
0.368 0.000 0.645 O
0.369 0.368 0.355 O
0.369 0.000 0.145 O
0.631 0.632 0.645 O
0.368 0.369 0.855 O
0.631 0.000 0.855 O
0.000 0.368 0.145 O
0.000 0.632 0.855 O
0.333 0.667 0.750 Sn
0.667 0.333 0.250 Sn


LiAlPdF6 (PBE-GGA, optimized geometry); distance to the lowest polymorph of the same formula = 9 meV per atom; total energy = -5.04 eV/atom; size of the total moment = 0.2222 μB per atom
1.0
4.763 0.000 0.000
0.000 4.763 0.000
0.000 0.000 9.257
F Li Al Pd
12 2 2 2
Direct
0.323 0.323 0.984 F
0.226 0.774 0.825 F
0.774 0.226 0.825 F
0.823 0.177 0.484 F
0.808 0.192 0.192 F
0.308 0.308 0.692 F
0.692 0.692 0.692 F
0.177 0.823 0.484 F
0.677 0.677 0.984 F
0.726 0.726 0.325 F
0.274 0.274 0.325 F
0.192 0.808 0.192 F
0.000 0.000 0.668 Li
0.500 0.500 0.168 Li
0.500 0.500 0.833 Al
0.000 0.000 0.333 Al
0.000 0.000 0.996 Pd
0.500 0.500 0.496 Pd


> What is the total energy in the third record?

-3.16 eV/atom